! BaY2, optimized geometry, DFT GGA-PBE; values from VASP
! ΔH_f (0 K), meV per atom: 330
! E above lowest polymorph, eV per atom: 0.170
&SYSTEM
  ibrav = 0, nat = 6, ntyp = 2
/
ATOMIC_SPECIES
Ba 137.33 Ba.upf
Y 88.91 Y.upf
CELL_PARAMETERS angstrom
7.151 0.000 0.000
3.576 6.193 0.000
3.576 2.064 5.839
ATOMIC_POSITIONS angstrom
Ba 3.576 2.064 1.460
Y 5.364 5.161 3.649
Y 7.151 4.129 0.730
Ba 0.000 0.000 0.000
Y 8.939 5.161 3.649
Y 7.151 2.064 3.649


! Pa12Si6Au, optimized geometry, DFT GGA-PBE; values from VASP
! Formation energy from raw total energies, eV/atom: -0.1839
&SYSTEM
  ibrav = 0, nat = 19, ntyp = 3
/
ATOMIC_SPECIES
Si 28.09 Si.upf
Pa 231.04 Pa.upf
Au 196.97 Au.upf
CELL_PARAMETERS angstrom
8.180 0.000 0.000
-2.727 7.712 0.000
-2.727 -3.856 6.679
ATOMIC_POSITIONS angstrom
Si 0.657 5.319 2.534
Si 2.069 -1.463 4.144
Si -0.657 0.465 5.874
Pa 0.166 3.305 4.906
Pa -2.892 2.045 6.269
Pa -0.166 -2.596 5.315
Au 0.000 0.000 0.000
Pa 0.334 2.835 1.364
Pa 5.119 -1.258 4.906
Pa -0.334 0.237 3.137
Pa -2.392 5.114 1.773
Si -2.069 2.858 3.339
Pa 2.892 6.452 1.364
Pa 3.061 3.620 3.542
Pa 2.561 0.551 1.773
Pa 5.619 1.811 0.410
Pa 2.392 1.021 5.315
Si 4.796 0.998 3.339
Si 3.384 3.391 0.805


! SrY2Cd, optimized geometry, DFT GGA-PBE; values from VASP
! ΔH_f (0 K), meV per atom: 36
&SYSTEM
  ibrav = 0, nat = 4, ntyp = 3
/
ATOMIC_SPECIES
Y 88.91 Y.upf
Cd 112.41 Cd.upf
Sr 87.62 Sr.upf
CELL_PARAMETERS angstrom
-0.540 11.364 1.778
-4.093 10.454 2.557
-1.459 10.164 5.210
ATOMIC_POSITIONS angstrom
Y -3.128 16.421 4.901
Y -6.010 31.552 9.417
Cd -1.523 7.995 2.386
Sr -4.569 23.986 7.159


! NaPmAlTl, optimized geometry, DFT GGA-PBE; values from VASP
! ΔH_f (0 K), meV per atom: -138
&SYSTEM
  ibrav = 0, nat = 4, ntyp = 4
/
ATOMIC_SPECIES
Tl 204.38 Tl.upf
Al 26.98 Al.upf
Na 22.99 Na.upf
Pm 145.00 Pm.upf
CELL_PARAMETERS angstrom
-3.399 -1.778 3.639
1.651 -0.905 4.941
-1.562 3.172 3.932
ATOMIC_POSITIONS angstrom
Tl 0.000 0.000 0.000
Al -1.655 0.245 6.256
Na -2.482 0.367 9.384
Pm -0.827 0.122 3.128


! Y5Mn2Co12, optimized geometry, DFT GGA-PBE; values from VASP
! ΔH_f (0 K), meV per atom: 372
&SYSTEM
  ibrav = 0, nat = 19, ntyp = 3
/
ATOMIC_SPECIES
Y 88.91 Y.upf
Co 58.93 Co.upf
Mn 54.94 Mn.upf
CELL_PARAMETERS angstrom
-0.366 5.582 -3.777
-6.476 -1.653 -0.946
-1.170 3.256 5.795
ATOMIC_POSITIONS angstrom
Y -1.103 0.989 0.148
Co -0.679 4.675 -0.044
Co -4.406 0.262 1.683
Co -0.856 4.163 2.062
Co -3.239 1.342 3.167
Co -5.318 1.549 -0.071
Co -3.028 3.668 2.840
Co -4.984 3.517 -1.767
Co -4.093 1.169 -2.050
Co -2.693 5.636 1.143
Co -2.748 2.761 -2.673
Co -5.331 2.513 2.366
Y -0.585 1.628 2.898
Y -6.908 6.196 0.925
Mn -3.105 2.785 0.416
Co -2.681 4.673 -1.293
Y -0.183 2.791 -1.889
Y -3.238 -0.826 -0.473
Mn -4.906 4.401 0.657


! B7C3, optimized geometry, DFT GGA-PBE; values from VASP
! ΔH_f (0 K), meV per atom: 420
! E above lowest polymorph, eV per atom: 0.128
&SYSTEM
  ibrav = 0, nat = 10, ntyp = 2
/
ATOMIC_SPECIES
B 10.81 B.upf
C 12.01 C.upf
CELL_PARAMETERS angstrom
3.843 -0.143 -4.997
-0.855 2.379 -5.777
0.720 0.143 6.263
ATOMIC_POSITIONS angstrom
B -0.057 2.083 -4.017
B -0.829 2.354 -5.639
B 1.289 0.920 -4.415
B 2.130 1.438 -0.065
C 1.360 0.209 -0.705
C 1.997 0.686 -3.005
B 2.786 1.191 -5.407
B -0.337 1.708 -2.152
C 0.857 0.447 -2.083
B 2.853 1.979 -2.670


! LiDy5In3, optimized geometry, DFT GGA-PBE; values from VASP
! ΔH_f (0 K), meV per atom: -344
&SYSTEM
  ibrav = 0, nat = 18, ntyp = 3
/
ATOMIC_SPECIES
In 114.82 In.upf
Dy 162.50 Dy.upf
Li 6.94 Li.upf
CELL_PARAMETERS angstrom
6.636 0.000 0.000
0.000 8.022 -4.632
0.000 0.000 9.263
ATOMIC_POSITIONS angstrom
In 1.659 0.000 3.270
In 1.659 5.190 2.996
Dy 4.977 8.022 -1.784
Dy 4.977 5.556 3.208
In 4.977 8.022 1.361
In 1.659 2.832 -1.635
Dy 3.318 2.674 4.632
Li 0.000 0.000 0.000
Dy 4.977 2.466 -1.424
Li 3.318 0.000 0.000
Dy 0.000 5.348 0.000
Dy 1.659 2.466 1.424
Dy 3.318 5.348 0.000
In 4.977 2.832 1.635
Dy 1.659 0.000 6.416
Dy 1.659 5.556 -3.208
Dy 0.000 2.674 4.632
In 4.977 5.190 -2.997


! CaTaSe2, optimized geometry, DFT GGA-PBE; values from VASP
! Formation energy from raw total energies, eV/atom: -0.3426
! E above lowest polymorph, eV per atom: 0.528
&SYSTEM
  ibrav = 0, nat = 4, ntyp = 3
/
ATOMIC_SPECIES
Se 78.96 Se.upf
Ca 40.08 Ca.upf
Ta 180.95 Ta.upf
CELL_PARAMETERS angstrom
-6.808 -2.156 5.124
-7.451 -4.237 1.946
-5.016 -5.532 4.637
ATOMIC_POSITIONS angstrom
Se -1.848 -1.144 1.123
Ca -9.638 -5.963 5.854
Se -17.427 -10.782 10.584
Ta 0.000 0.000 0.000


! GdZnPt, optimized geometry, DFT GGA-PBE; values from VASP
! ΔH_f (0 K), meV per atom: -735
&SYSTEM
  ibrav = 0, nat = 3, ntyp = 3
/
ATOMIC_SPECIES
Pt 195.08 Pt.upf
Gd 157.25 Gd.upf
Zn 65.41 Zn.upf
CELL_PARAMETERS angstrom
-0.965 -0.398 -3.397
1.329 -3.296 0.009
-4.377 0.159 3.083
ATOMIC_POSITIONS angstrom
Pt -2.262 -0.910 0.749
Gd -3.537 -3.344 -0.463
Zn -0.967 -2.309 -1.314


A plane-wave DFT calculation with GGA-PBE was carried out for crystalline Ca2NdH6Ru at its relaxed geometry. Values from VASP.

Structure (Quantum ESPRESSO input):
```
&SYSTEM
  ibrav = 0, nat = 10, ntyp = 4
/
ATOMIC_SPECIES
H 1.01 H.upf
Ca 40.08 Ca.upf
Nd 144.24 Nd.upf
Ru 101.07 Ru.upf
CELL_PARAMETERS angstrom
6.245 0.000 0.000
0.000 5.058 0.000
0.000 -2.529 4.380
ATOMIC_POSITIONS angstrom
H 1.039 1.206 0.696
H 1.039 3.852 0.696
Ca 0.979 0.000 2.920
Nd 3.122 0.000 0.000
H 1.039 2.529 2.988
Ru 0.000 0.000 0.000
H 5.205 0.000 1.392
H 5.205 1.323 3.684
H 5.205 -1.323 3.684
Ca 5.266 2.529 1.460
```


! AcTb2Pr2Y2, optimized geometry, DFT GGA-PBE; values from VASP
! ΔH_f (0 K), meV per atom: 36
&SYSTEM
  ibrav = 0, nat = 7, ntyp = 4
/
ATOMIC_SPECIES
Tb 158.93 Tb.upf
Pr 140.91 Pr.upf
Y 88.91 Y.upf
Ac 227.00 Ac.upf
CELL_PARAMETERS angstrom
-1.038 4.932 -1.274
-5.136 -3.393 1.657
2.205 2.405 7.514
ATOMIC_POSITIONS angstrom
Tb 0.207 4.029 4.822
Pr -2.623 2.426 0.924
Y -3.317 3.166 4.353
Y -0.652 0.778 3.544
Tb -4.177 -0.085 3.074
Ac 0.000 0.000 0.000
Pr -1.346 1.518 6.972


! BePt, optimized geometry, DFT GGA-PBE; values from VASP
! ΔH_f (0 K), meV per atom: -371
&SYSTEM
  ibrav = 0, nat = 12, ntyp = 2
/
ATOMIC_SPECIES
Be 9.01 Be.upf
Pt 195.08 Pt.upf
CELL_PARAMETERS angstrom
-1.585 -3.112 1.303
0.949 0.243 -3.596
12.057 -4.948 2.846
ATOMIC_POSITIONS angstrom
Be 3.581 -2.302 -1.142
Pt 9.243 -3.793 2.182
Be 7.840 -5.515 1.696
Pt 3.758 -3.839 0.732
Be 0.899 -0.369 0.212
Be 5.798 -4.676 1.213
Be 5.624 -3.140 -0.660
Pt 1.057 -1.266 -1.738
Be 11.158 -4.579 2.634
Pt 7.664 -3.977 -0.179
Pt 10.364 -6.550 2.291
Pt 2.815 -1.155 0.664


! PmBe2PPt2, optimized geometry, DFT GGA-PBE; values from VASP
! ΔH_f (0 K), meV per atom: -834
&SYSTEM
  ibrav = 0, nat = 6, ntyp = 4
/
ATOMIC_SPECIES
P 30.97 P.upf
Pt 195.08 Pt.upf
Pm 145.00 Pm.upf
Be 9.01 Be.upf
CELL_PARAMETERS angstrom
-0.024 -2.801 -2.909
0.322 -2.901 2.791
-6.363 2.519 0.430
ATOMIC_POSITIONS angstrom
P 0.000 0.000 0.000
Pt -2.946 -1.617 1.581
Pm 0.149 -2.851 -0.059
Pt -3.119 -1.567 -1.269
Be -2.086 -0.112 0.125
Be -3.979 -3.072 0.188


! VSb3Ru, optimized geometry, DFT GGA-PBE; values from VASP
! Formation energy from raw total energies, eV/atom: 0.7736
! E above lowest polymorph, eV per atom: 0.000
&SYSTEM
  ibrav = 0, nat = 5, ntyp = 3
/
ATOMIC_SPECIES
Ru 101.07 Ru.upf
V 50.94 V.upf
Sb 121.76 Sb.upf
CELL_PARAMETERS angstrom
-3.535 3.695 -0.116
-0.858 -0.977 -4.947
-3.596 -3.399 1.295
ATOMIC_POSITIONS angstrom
Ru 0.000 0.000 0.000
V -3.994 -0.341 -1.884
Sb -0.429 -0.488 -2.473
Sb -1.798 -1.700 0.647
Sb -1.767 1.847 -0.058


! Pm2DyZn6, optimized geometry, DFT GGA-PBE; values from VASP
! ΔH_f (0 K), meV per atom: -363
&SYSTEM
  ibrav = 0, nat = 9, ntyp = 3
/
ATOMIC_SPECIES
Zn 65.41 Zn.upf
Pm 145.00 Pm.upf
Dy 162.50 Dy.upf
CELL_PARAMETERS angstrom
-1.233 -2.991 1.495
-0.416 -3.366 -7.077
6.575 -0.588 4.244
ATOMIC_POSITIONS angstrom
Zn 1.419 -2.802 -0.189
Pm 0.682 -5.431 -1.808
Zn 3.507 -4.143 -1.149
Pm 4.244 -1.514 0.471
Zn 1.557 -1.690 2.150
Zn 3.786 -1.889 3.589
Dy 6.575 -0.588 4.244
Zn -0.754 -2.608 -1.591
Zn 5.680 -4.337 0.254


! TmMgPt, optimized geometry, DFT GGA-PBE; values from VASP
! ΔH_f (0 K), meV per atom: -718
&SYSTEM
  ibrav = 0, nat = 3, ntyp = 3
/
ATOMIC_SPECIES
Tm 168.93 Tm.upf
Mg 24.30 Mg.upf
Pt 195.08 Pt.upf
CELL_PARAMETERS angstrom
3.516 0.000 0.000
0.000 4.554 0.000
0.000 -2.277 3.944
ATOMIC_POSITIONS angstrom
Tm 2.344 0.000 2.629
Mg 0.588 2.277 1.315
Pt 0.585 0.000 0.000


! Sr2TiBeB, optimized geometry, DFT GGA-PBE; values from VASP
! ΔH_f (0 K), meV per atom: 723
&SYSTEM
  ibrav = 0, nat = 5, ntyp = 4
/
ATOMIC_SPECIES
Ti 47.87 Ti.upf
Be 9.01 Be.upf
B 10.81 B.upf
Sr 87.62 Sr.upf
CELL_PARAMETERS angstrom
5.891 0.000 0.000
0.000 3.621 0.000
0.000 0.000 5.891
ATOMIC_POSITIONS angstrom
Ti 2.946 1.811 2.946
Be 0.000 0.000 0.000
B 0.000 1.811 0.000
Sr 2.946 0.000 0.000
Sr 0.000 0.000 2.946


! Ca2Ga3GeIr4, optimized geometry, DFT GGA-PBE; values from VASP
! ΔH_f (0 K), meV per atom: -576
&SYSTEM
  ibrav = 0, nat = 10, ntyp = 4
/
ATOMIC_SPECIES
Ge 72.64 Ge.upf
Ir 192.22 Ir.upf
Ga 69.72 Ga.upf
Ca 40.08 Ca.upf
CELL_PARAMETERS angstrom
4.324 0.000 0.000
0.000 4.324 0.000
0.000 0.000 10.030
ATOMIC_POSITIONS angstrom
Ge 2.162 2.162 5.015
Ir 0.000 0.000 0.000
Ga 0.000 2.162 1.270
Ir 2.162 0.000 6.264
Ca 0.000 2.162 7.674
Ir 0.000 2.162 3.766
Ir 2.162 2.162 0.000
Ca 2.162 0.000 2.356
Ga 0.000 0.000 5.015
Ga 2.162 0.000 8.759


! LiFeSi2, optimized geometry, DFT GGA-PBE; values from VASP
! Formation energy from raw total energies, eV/atom: -0.1521
! E above lowest polymorph, eV per atom: 0.099
&SYSTEM
  ibrav = 0, nat = 4, ntyp = 3
/
ATOMIC_SPECIES
Fe 55.84 Fe.upf
Si 28.09 Si.upf
Li 6.94 Li.upf
CELL_PARAMETERS angstrom
8.210 0.014 0.008
7.753 2.702 0.008
7.753 1.319 2.358
ATOMIC_POSITIONS angstrom
Fe 5.929 1.009 0.594
Si 23.522 4.003 2.356
Si 12.052 2.051 1.207
Li 17.787 3.027 1.781


! Na3Cd2Hg9, optimized geometry, DFT GGA-PBE; values from VASP
! ΔH_f (0 K), meV per atom: -131
&SYSTEM
  ibrav = 0, nat = 14, ntyp = 3
/
ATOMIC_SPECIES
Na 22.99 Na.upf
Cd 112.41 Cd.upf
Hg 200.59 Hg.upf
CELL_PARAMETERS angstrom
-0.552 -2.117 4.384
8.562 -0.697 3.479
1.479 6.745 6.182
ATOMIC_POSITIONS angstrom
Na 0.000 0.000 0.000
Cd 3.628 3.139 7.448
Hg 2.176 -0.936 2.560
Hg 7.498 0.688 9.490
Hg 4.796 0.297 3.485
Hg 5.021 3.024 4.830
Na 7.102 3.783 8.197
Hg 7.313 4.868 11.485
Hg 0.235 1.103 3.300
Hg 1.992 3.243 4.555
Cd 5.861 0.792 6.596
Na 2.387 0.149 5.848
Hg 4.693 3.634 10.560
Hg 9.254 2.828 10.744


Number 1: total energy -4.62 eV per atom, total moment 2.854 μB per cell. Number 2: total energy -8.07 eV per atom, total moment 0.000 μB per cell. Number 3: total energy -3.84 eV per atom, total moment 0.450 μB per cell. Number 4: total energy -3.18 eV per atom, total moment 0.000 μB per cell. Number 5: total energy -6.78 eV per atom, total moment 21.956 μB per cell. Number 6: total energy -7.02 eV per atom, total moment 0.000 μB per cell. Number 7: total energy -4.03 eV per atom, total moment 0.000 μB per cell. Number 8: total energy -5.55 eV per atom, total moment 1.030 μB per cell. Number 9: total energy -7.87 eV per atom, total moment 7.124 μB per cell. Number 10: total energy -4.27 eV per atom, total moment 0.000 μB per cell. Number 11: total energy -5.09 eV per atom, total moment 0.000 μB per cell. Number 12: total energy -5.25 eV per atom, total moment 0.000 μB per cell. Number 13: total energy -5.78 eV per atom, total moment 0.000 μB per cell. Number 14: total energy -5.38 eV per atom, total moment 3.546 μB per cell. Number 15: total energy -2.78 eV per atom, total moment 0.000 μB per cell. Number 16: total energy -4.75 eV per atom, total moment 0.000 μB per cell. Number 17: total energy -3.61 eV per atom, total moment 3.166 μB per cell. Number 18: total energy -5.89 eV per atom, total moment 0.000 μB per cell. Number 19: total energy -5.46 eV per atom, total moment 1.260 μB per cell. Number 20: total energy -0.74 eV per atom, total moment 0.000 μB per cell.